--- i ---
# PBE-GGA Ba2TlZn2, relaxed
# Crystal system: tetragonal
# Volume, Å³ per cell: 361
data_Ba2TlZn2
_chemical_formula_sum 'Ba4 Tl2 Zn4'
_cell_length_a 9.4755
_cell_length_b 9.4755
_cell_length_c 4.0246
_cell_angle_alpha 90.00
_cell_angle_beta 90.00
_cell_angle_gamma 90.00
_symmetry_space_group_name_H-M 'P 4/m b m'
_symmetry_Int_Tables_number 127
_symmetry_space_group_name_Hall '-P 4 2ab'
loop_
_atom_site_label
_atom_site_type_symbol
_atom_site_fract_x
_atom_site_fract_y
_atom_site_fract_z
Ba1 Ba 0.1572 0.3428 0.0000
Tl1 Tl 0.0000 0.0000 0.0000
Zn1 Zn 0.1338 0.6338 0.5000

--- ii ---
# PBE-GGA Ba2TlZn2, relaxed
# Crystal system: monoclinic
# Volume, Å³ per cell: 664
data_Ba2TlZn2
_chemical_formula_sum 'Ba8 Tl4 Zn8'
_cell_length_a 12.0856
_cell_length_b 5.1291
_cell_length_c 12.2004
_cell_angle_alpha 90.00
_cell_angle_beta 118.53
_cell_angle_gamma 90.00
_symmetry_space_group_name_H-M 'C 1 2/m 1'
_symmetry_Int_Tables_number 12
loop_
_symmetry_equiv_pos_as_xyz
'x,y,z'
'-x,-y,-z'
'-x,y,-z'
'x,-y,z'
'x+1/2,y+1/2,z'
'-x+1/2,-y+1/2,-z'
'-x+1/2,y+1/2,-z'
'x+1/2,-y+1/2,z'
loop_
_atom_site_label
_atom_site_type_symbol
_atom_site_fract_x
_atom_site_fract_y
_atom_site_fract_z
Ba1 Ba 0.0211 0.0000 0.3356
Ba2 Ba 0.2064 0.0000 0.1165
Tl1 Tl 0.2287 0.5000 0.3540
Zn1 Zn 0.0046 0.5000 0.8970
Zn2 Zn 0.1272 0.5000 0.5528

--- iii ---
# PBE-GGA Ba2TlZn2, relaxed
# Crystal system: tetragonal
# Volume, Å³ per cell: 342
data_Ba2TlZn2
_chemical_formula_sum 'Ba4 Tl2 Zn4'
_cell_length_a 4.0971
_cell_length_b 4.0971
_cell_length_c 20.3675
_cell_angle_alpha 90.00
_cell_angle_beta 90.00
_cell_angle_gamma 90.00
_symmetry_space_group_name_H-M 'I 4/m m m'
_symmetry_Int_Tables_number 139
_symmetry_space_group_name_Hall '-I 4 2'
loop_
_atom_site_label
_atom_site_type_symbol
_atom_site_fract_x
_atom_site_fract_y
_atom_site_fract_z
Ba1 Ba 0.0000 0.0000 0.1104
Tl1 Tl 0.0000 0.0000 0.5000
Zn1 Zn 0.0000 0.5000 0.2500

Stability ranking, top and bottom: ii is the most stable and i is the least stable.

--- i ---
# PBE-GGA BaTl3Zn, relaxed
# Crystal system: cubic
# Volume, Å³ per cell: 295
data_BaTl3Zn
_chemical_formula_sum 'Ba1 Tl3 Zn1'
_cell_length_a 6.6541
_cell_length_b 6.6541
_cell_length_c 6.6541
_cell_angle_alpha 90.00
_cell_angle_beta 90.00
_cell_angle_gamma 90.00
_symmetry_space_group_name_H-M 'P m -3 m'
_symmetry_Int_Tables_number 221
_symmetry_space_group_name_Hall '-P 4 2 3'
loop_
_atom_site_label
_atom_site_type_symbol
_atom_site_fract_x
_atom_site_fract_y
_atom_site_fract_z
Ba1 Ba 0.0000 0.0000 0.0000
Tl1 Tl 0.0000 0.0000 0.5000
Zn1 Zn 0.5000 0.5000 0.5000

--- ii ---
# PBE-GGA BaTl3Zn, relaxed
# Crystal system: monoclinic
# Volume, Å³ per cell: 309
data_BaTl3Zn
_chemical_formula_sum 'Ba2 Tl6 Zn2'
_cell_length_a 7.1670
_cell_length_b 7.1351
_cell_length_c 7.0073
_cell_angle_alpha 90.00
_cell_angle_beta 120.45
_cell_angle_gamma 90.00
_symmetry_space_group_name_H-M 'C 1 m 1'
_symmetry_Int_Tables_number 8
loop_
_symmetry_equiv_pos_as_xyz
'x,y,z'
'x,-y,z'
'x+1/2,y+1/2,z'
'x+1/2,-y+1/2,z'
loop_
_atom_site_label
_atom_site_type_symbol
_atom_site_fract_x
_atom_site_fract_y
_atom_site_fract_z
Ba1 Ba 0.0000 0.0000 0.0000
Tl1 Tl 0.0102 0.2491 0.5203
Tl2 Tl 0.1019 0.5000 0.2045
Zn1 Zn 0.3763 0.0000 0.7513

Stability ranking, top and bottom: ii is the most stable and i is the least stable.

--- i ---
# PBE-GGA BaTl3Zn, relaxed
# Crystal system: orthorhombic
# Volume, Å³ per cell: 609
data_BaTl3Zn
_chemical_formula_sum 'Ba4 Tl12 Zn4'
_cell_length_a 9.8824
_cell_length_b 5.0007
_cell_length_c 12.3203
_cell_angle_alpha 90.00
_cell_angle_beta 90.00
_cell_angle_gamma 90.00
_symmetry_space_group_name_H-M 'P n m a'
_symmetry_Int_Tables_number 62
loop_
_symmetry_equiv_pos_as_xyz
'x,y,z'
'-x,-y,-z'
'-x+1/2,-y,z+1/2'
'x+1/2,y,-z+1/2'
'x+1/2,-y+1/2,-z+1/2'
'-x+1/2,y+1/2,z+1/2'
'-x,y+1/2,-z'
'x,-y+1/2,z'
loop_
_atom_site_label
_atom_site_type_symbol
_atom_site_fract_x
_atom_site_fract_y
_atom_site_fract_z
Ba1 Ba 0.1971 0.2500 0.0055
Tl1 Tl 0.0710 0.2500 0.4034
Tl2 Tl 0.1227 0.7500 0.8015
Tl3 Tl 0.1263 0.7500 0.2078
Zn1 Zn 0.0931 0.2500 0.6424

--- ii ---
# PBE-GGA BaTl3Zn, relaxed
# Crystal system: cubic
# Volume, Å³ per cell: 165
data_BaTl3Zn
_chemical_formula_sum 'Ba1 Tl3 Zn1'
_cell_length_a 5.4897
_cell_length_b 5.4897
_cell_length_c 5.4897
_cell_angle_alpha 90.00
_cell_angle_beta 90.00
_cell_angle_gamma 90.00
_symmetry_space_group_name_H-M 'P m -3 m'
_symmetry_Int_Tables_number 221
_symmetry_space_group_name_Hall '-P 4 2 3'
loop_
_atom_site_label
_atom_site_type_symbol
_atom_site_fract_x
_atom_site_fract_y
_atom_site_fract_z
Ba1 Ba 0.0000 0.0000 0.0000
Tl1 Tl 0.0000 0.5000 0.5000
Zn1 Zn 0.5000 0.5000 0.5000

Stability ranking, top and bottom: i is the most stable and ii is the least stable.

--- i ---
# PBE-GGA BaZrTl, relaxed
# Crystal system: tetragonal
# Volume, Å³ per cell: 190
data_BaZrTl
_chemical_formula_sum 'Ba2 Zr2 Tl2'
_cell_length_a 3.5504
_cell_length_b 3.5504
_cell_length_c 15.0902
_cell_angle_alpha 90.00
_cell_angle_beta 90.00
_cell_angle_gamma 90.00
_symmetry_space_group_name_H-M 'I 4 m m'
_symmetry_Int_Tables_number 107
_symmetry_space_group_name_Hall 'I 4 -2'
loop_
_atom_site_label
_atom_site_type_symbol
_atom_site_fract_x
_atom_site_fract_y
_atom_site_fract_z
Ba1 Ba 0.0000 0.0000 0.0000
Zr1 Zr 0.0000 0.0000 0.3018
Tl1 Tl 0.0000 0.0000 0.6801

--- ii ---
# PBE-GGA BaZrTl, relaxed
# Crystal system: cubic
# Volume, Å³ per cell: 455
data_BaZrTl
_chemical_formula_sum 'Ba4 Zr4 Tl4'
_cell_length_a 7.6904
_cell_length_b 7.6904
_cell_length_c 7.6904
_cell_angle_alpha 90.00
_cell_angle_beta 90.00
_cell_angle_gamma 90.00
_symmetry_space_group_name_H-M 'F -4 3 m'
_symmetry_Int_Tables_number 216
_symmetry_space_group_name_Hall 'F -4 2 3'
loop_
_atom_site_label
_atom_site_type_symbol
_atom_site_fract_x
_atom_site_fract_y
_atom_site_fract_z
Ba1 Ba 0.0000 0.0000 0.0000
Zr1 Zr 0.2500 0.2500 0.7500
Tl1 Tl 0.2500 0.2500 0.2500

--- iii ---
# PBE-GGA BaZrTl, relaxed
# Crystal system: monoclinic
# Volume, Å³ per cell: 190
data_BaZrTl
_chemical_formula_sum 'Ba2 Zr2 Tl2'
_cell_length_a 5.3105
_cell_length_b 3.8291
_cell_length_c 9.7261
_cell_angle_alpha 90.00
_cell_angle_beta 105.74
_cell_angle_gamma 90.00
_symmetry_space_group_name_H-M 'P 1 2/m 1'
_symmetry_Int_Tables_number 10
loop_
_symmetry_equiv_pos_as_xyz
'x,y,z'
'-x,-y,-z'
'-x,y,-z'
'x,-y,z'
loop_
_atom_site_label
_atom_site_type_symbol
_atom_site_fract_x
_atom_site_fract_y
_atom_site_fract_z
Ba1 Ba 0.1835 0.0000 0.3659
Zr1 Zr 0.0000 0.5000 0.0000
Zr2 Zr 0.5000 0.0000 0.0000
Tl1 Tl 0.3748 0.5000 0.7515

--- iv ---
# PBE-GGA BaZrTl, relaxed
# Crystal system: cubic
# Volume, Å³ per cell: 448
data_BaZrTl
_chemical_formula_sum 'Ba4 Zr4 Tl4'
_cell_length_a 7.6516
_cell_length_b 7.6516
_cell_length_c 7.6516
_cell_angle_alpha 90.00
_cell_angle_beta 90.00
_cell_angle_gamma 90.00
_symmetry_space_group_name_H-M 'F -4 3 m'
_symmetry_Int_Tables_number 216
_symmetry_space_group_name_Hall 'F -4 2 3'
loop_
_atom_site_label
_atom_site_type_symbol
_atom_site_fract_x
_atom_site_fract_y
_atom_site_fract_z
Ba1 Ba 0.0000 0.0000 0.0000
Zr1 Zr 0.0000 0.0000 0.5000
Tl1 Tl 0.2500 0.2500 0.2500

Stability ranking, top and bottom: iii is the most stable and ii is the least stable.

--- i ---
# PBE-GGA BaZrTl, relaxed
# Crystal system: monoclinic
# Volume, Å³ per cell: 200
data_BaZrTl
_chemical_formula_sum 'Ba2 Zr2 Tl2'
_cell_length_a 3.7154
_cell_length_b 3.9694
_cell_length_c 13.5409
_cell_angle_alpha 90.00
_cell_angle_beta 90.14
_cell_angle_gamma 90.00
_symmetry_space_group_name_H-M 'P 1 21/m 1'
_symmetry_Int_Tables_number 11
loop_
_symmetry_equiv_pos_as_xyz
'x,y,z'
'-x,-y,-z'
'-x,y+1/2,-z'
'x,-y+1/2,z'
loop_
_atom_site_label
_atom_site_type_symbol
_atom_site_fract_x
_atom_site_fract_y
_atom_site_fract_z
Ba1 Ba 0.2467 0.2500 0.1456
Zr1 Zr 0.2493 0.2500 0.4388
Tl1 Tl 0.2519 0.2500 0.6763

--- ii ---
# PBE-GGA BaZrTl, relaxed
# Crystal system: orthorhombic
# Volume, Å³ per cell: 199
data_BaZrTl
_chemical_formula_sum 'Ba2 Zr2 Tl2'
_cell_length_a 3.6081
_cell_length_b 4.4137
_cell_length_c 12.5129
_cell_angle_alpha 90.00
_cell_angle_beta 90.00
_cell_angle_gamma 90.00
_symmetry_space_group_name_H-M 'I m m 2'
_symmetry_Int_Tables_number 44
loop_
_symmetry_equiv_pos_as_xyz
'x,y,z'
'-x,-y,z'
'-x,y,z'
'x,-y,z'
'x+1/2,y+1/2,z+1/2'
'-x+1/2,-y+1/2,z+1/2'
'-x+1/2,y+1/2,z+1/2'
'x+1/2,-y+1/2,z+1/2'
loop_
_atom_site_label
_atom_site_type_symbol
_atom_site_fract_x
_atom_site_fract_y
_atom_site_fract_z
Ba1 Ba 0.0000 0.0000 0.0000
Zr1 Zr 0.0000 0.0000 0.2857
Tl1 Tl 0.0000 0.0000 0.7009

Stability ranking, top and bottom: i is the most stable and ii is the least stable.

--- i ---
# PBE-GGA BaV2W, relaxed
# Crystal system: cubic
# Volume, Å³ per cell: 315
data_BaV2W
_chemical_formula_sum 'Ba4 V8 W4'
_cell_length_a 6.8059
_cell_length_b 6.8059
_cell_length_c 6.8059
_cell_angle_alpha 90.00
_cell_angle_beta 90.00
_cell_angle_gamma 90.00
_symmetry_space_group_name_H-M 'F m -3 m'
_symmetry_Int_Tables_number 225
_symmetry_space_group_name_Hall '-F 4 2 3'
loop_
_atom_site_label
_atom_site_type_symbol
_atom_site_fract_x
_atom_site_fract_y
_atom_site_fract_z
Ba1 Ba 0.0000 0.0000 0.0000
V1 V 0.2500 0.2500 0.2500
W1 W 0.0000 0.0000 0.5000

--- ii ---
# PBE-GGA BaV2W, relaxed
# Crystal system: tetragonal
# Volume, Å³ per cell: 454
data_BaV2W
_chemical_formula_sum 'Ba4 V8 W4'
_cell_length_a 5.2354
_cell_length_b 5.2354
_cell_length_c 16.5746
_cell_angle_alpha 90.00
_cell_angle_beta 90.00
_cell_angle_gamma 90.00
_symmetry_space_group_name_H-M 'I 41/a m d'
_symmetry_Int_Tables_number 141
loop_
_symmetry_equiv_pos_as_xyz
'x,y,z'
'-x,-y,-z'
'-y+1/4,x+3/4,z+1/4'
'y+1/4,-x+3/4,-z+1/4'
'-x+1/2,-y,z+1/2'
'x+1/2,y,-z+1/2'
'y+1/4,-x+1/4,z+3/4'
'-y+1/4,x+1/4,-z+3/4'
'x,-y,-z'
'-x,y,z'
'-y+1/4,-x+1/4,-z+3/4'
'y+1/4,x+1/4,z+3/4'
'-x+1/2,y,-z+1/2'
'x+1/2,-y,z+1/2'
'y+1/4,x+3/4,-z+1/4'
'-y+1/4,-x+3/4,z+1/4'
'x+1/2,y+1/2,z+1/2'
'-x+1/2,-y+1/2,-z+1/2'
'-y+3/4,x+1/4,z+3/4'
'y+3/4,-x+1/4,-z+3/4'
'-x,-y+1/2,z'
'x,y+1/2,-z'
'y+3/4,-x+3/4,z+1/4'
'-y+3/4,x+3/4,-z+1/4'
'x+1/2,-y+1/2,-z+1/2'
'-x+1/2,y+1/2,z+1/2'
'-y+3/4,-x+3/4,-z+1/4'
'y+3/4,x+3/4,z+1/4'
'-x,y+1/2,-z'
'x,-y+1/2,z'
'y+3/4,x+1/4,-z+3/4'
'-y+3/4,-x+1/4,z+3/4'
loop_
_atom_site_label
_atom_site_type_symbol
_atom_site_fract_x
_atom_site_fract_y
_atom_site_fract_z
Ba1 Ba 0.0000 0.2500 0.3750
V1 V 0.0000 0.0000 0.0000
W1 W 0.0000 0.2500 0.8750

Stability ranking, top and bottom: i is the most stable and ii is the least stable.

--- i ---
# PBE-GGA Ba2YV, relaxed
# Crystal system: tetragonal
# Volume, Å³ per cell: 631
data_Ba2YV
_chemical_formula_sum 'Ba8 Y4 V4'
_cell_length_a 9.6141
_cell_length_b 9.6141
_cell_length_c 6.8220
_cell_angle_alpha 90.00
_cell_angle_beta 90.00
_cell_angle_gamma 90.00
_symmetry_space_group_name_H-M 'I -4 2 d'
_symmetry_Int_Tables_number 122
_symmetry_space_group_name_Hall 'I -4 2bw'
loop_
_atom_site_label
_atom_site_type_symbol
_atom_site_fract_x
_atom_site_fract_y
_atom_site_fract_z
Ba1 Ba 0.2072 0.2500 0.1250
Y1 Y 0.0000 0.0000 0.5000
V1 V 0.0000 0.0000 0.0000

--- ii ---
# PBE-GGA Ba2YV, relaxed
# Crystal system: cubic
# Volume, Å³ per cell: 613
data_Ba2YV
_chemical_formula_sum 'Ba8 Y4 V4'
_cell_length_a 8.4948
_cell_length_b 8.4948
_cell_length_c 8.4948
_cell_angle_alpha 90.00
_cell_angle_beta 90.00
_cell_angle_gamma 90.00
_symmetry_space_group_name_H-M 'F m -3 m'
_symmetry_Int_Tables_number 225
_symmetry_space_group_name_Hall '-F 4 2 3'
loop_
_atom_site_label
_atom_site_type_symbol
_atom_site_fract_x
_atom_site_fract_y
_atom_site_fract_z
Ba1 Ba 0.2500 0.2500 0.2500
Y1 Y 0.0000 0.0000 0.0000
V1 V 0.0000 0.0000 0.5000

Stability ranking, top and bottom: ii is the most stable and i is the least stable.

--- i ---
# PBE-GGA BaVZn2, relaxed
# Crystal system: cubic
# Volume, Å³ per cell: 392
data_BaVZn2
_chemical_formula_sum 'Ba4 V4 Zn8'
_cell_length_a 7.3213
_cell_length_b 7.3213
_cell_length_c 7.3213
_cell_angle_alpha 90.00
_cell_angle_beta 90.00
_cell_angle_gamma 90.00
_symmetry_space_group_name_H-M 'F m -3 m'
_symmetry_Int_Tables_number 225
_symmetry_space_group_name_Hall '-F 4 2 3'
loop_
_atom_site_label
_atom_site_type_symbol
_atom_site_fract_x
_atom_site_fract_y
_atom_site_fract_z
Ba1 Ba 0.0000 0.0000 0.0000
V1 V 0.0000 0.0000 0.5000
Zn1 Zn 0.2500 0.2500 0.2500

--- ii ---
# PBE-GGA BaVZn2, relaxed
# Crystal system: tetragonal
# Volume, Å³ per cell: 469
data_BaVZn2
_chemical_formula_sum 'Ba4 V4 Zn8'
_cell_length_a 5.0240
_cell_length_b 5.0240
_cell_length_c 18.5772
_cell_angle_alpha 90.00
_cell_angle_beta 90.00
_cell_angle_gamma 90.00
_symmetry_space_group_name_H-M 'I 41/a m d'
_symmetry_Int_Tables_number 141
loop_
_symmetry_equiv_pos_as_xyz
'x,y,z'
'-x,-y,-z'
'-y+1/4,x+3/4,z+1/4'
'y+1/4,-x+3/4,-z+1/4'
'-x+1/2,-y,z+1/2'
'x+1/2,y,-z+1/2'
'y+1/4,-x+1/4,z+3/4'
'-y+1/4,x+1/4,-z+3/4'
'x,-y,-z'
'-x,y,z'
'-y+1/4,-x+1/4,-z+3/4'
'y+1/4,x+1/4,z+3/4'
'-x+1/2,y,-z+1/2'
'x+1/2,-y,z+1/2'
'y+1/4,x+3/4,-z+1/4'
'-y+1/4,-x+3/4,z+1/4'
'x+1/2,y+1/2,z+1/2'
'-x+1/2,-y+1/2,-z+1/2'
'-y+3/4,x+1/4,z+3/4'
'y+3/4,-x+1/4,-z+3/4'
'-x,-y+1/2,z'
'x,y+1/2,-z'
'y+3/4,-x+3/4,z+1/4'
'-y+3/4,x+3/4,-z+1/4'
'x+1/2,-y+1/2,-z+1/2'
'-x+1/2,y+1/2,z+1/2'
'-y+3/4,-x+3/4,-z+1/4'
'y+3/4,x+3/4,z+1/4'
'-x,y+1/2,-z'
'x,-y+1/2,z'
'y+3/4,x+1/4,-z+3/4'
'-y+3/4,-x+1/4,z+3/4'
loop_
_atom_site_label
_atom_site_type_symbol
_atom_site_fract_x
_atom_site_fract_y
_atom_site_fract_z
Ba1 Ba 0.0000 0.2500 0.3750
V1 V 0.0000 0.2500 0.8750
Zn1 Zn 0.0000 0.0000 0.0000

Stability ranking, top and bottom: ii is the most stable and i is the least stable.